Material: CaLaSc2Ru
Method: DFT, PBE-GGA
State: optimized geometry

POSCAR file:
```
CaLaSc2Ru
1.0
-4.4607 2.3865 -1.2907
-2.6414 -4.3873 1.0167
-0.6455 1.5846 5.1608
Ru Sc La Ca
1 2 1 1
direct
0.0000 0.0000 0.0000
0.5000 0.0000 0.0000
0.0000 0.5000 0.0000
0.0000 0.0000 0.5000
0.5000 0.5000 0.5000
```

Properties
- Total DFT energy (no corrections): -5.90 eV/atom
- Distance to the lowest polymorph of the same formula: 0.0 kJ/mol of formula units
- Total magnetic moment: 0.00 μB/f.u.

=====

Material: Co3PbN
Method: DFT, PBE-GGA
State: optimized geometry

POSCAR file:
```
Co3PbN
1.0
3.9398 0.0000 0.0000
0.0000 3.9398 0.0000
0.0000 0.0000 3.9398
Co Pb N
3 1 1
direct
0.0000 0.0000 0.5000
0.5000 0.0000 0.0000
0.0000 0.5000 0.0000
0.5000 0.5000 0.5000
0.0000 0.0000 0.0000
```

Properties
- Total DFT energy (no corrections): -6.45 eV/atom
- Formation energy without anion corrections: 0.217 eV per atom
- Distance to the lowest polymorph of the same formula: 0.0 kJ/mol of formula units
- Total magnetic moment: 3.87 μB/f.u.

=====

Material: TbNdAg3
Method: DFT, PBE-GGA
State: optimized geometry

POSCAR file:
```
TbNdAg3
1.0
-1.1445 -3.5970 -3.2641
9.0052 -0.5359 -2.5668
-3.0273 -6.7957 8.5503
Tb Ag Nd
4 12 4
direct
0.2500 0.9033 0.3486
0.7500 0.0967 0.6514
0.7500 0.5967 0.1514
0.2500 0.4033 0.8486
0.7500 0.3380 0.2521
0.7500 0.2531 0.9549
0.7500 0.7531 0.4549
0.2500 0.7469 0.0451
0.2500 0.6620 0.7479
0.7500 0.1183 0.3883
0.2500 0.2469 0.5451
0.2500 0.8817 0.6117
0.7500 0.8380 0.7521
0.2500 0.1620 0.2479
0.2500 0.3817 0.1117
0.7500 0.6183 0.8883
0.7500 0.9647 0.0904
0.2500 0.0353 0.9096
0.2500 0.5353 0.4096
0.7500 0.4647 0.5904
```

Properties
- Total DFT energy (no corrections): -3.82 eV/atom
- Distance to the lowest polymorph of the same formula: 15.7 kJ/mol of formula units
- Total magnetic moment: 0.00 μB/f.u.